[1]
Here is a geometry-optimized Li2YGeO4 structure from Alexandria. Energies are from PBE-GGA.

Geometry as POSCAR:
```
Li2YGeO4
1.0
3.5492 0.0000 0.0000
-1.7746 5.6688 0.0000
0.0000 0.0000 9.3545
O Ge Y Li
8 2 2 4
Direct
0.6813 0.3626 0.6228
0.3187 0.6374 0.3772
0.6184 0.2368 0.2500
0.0000 0.0000 0.5000
0.3816 0.7632 0.7500
0.6813 0.3626 0.8772
0.3187 0.6374 0.1228
0.0000 0.0000 0.0000
0.1980 0.3960 0.2500
0.8020 0.6040 0.7500
0.9256 0.8512 0.2500
0.0744 0.1488 0.7500
0.5962 0.1924 0.4608
0.4038 0.8076 0.5392
0.4038 0.8076 0.9608
0.5962 0.1924 0.0392
```

ΔE_f (raw) (eV per atom): -2.018
Energy (eV/atom): -6.361
Crystal system: orthorhombic
D(E_F) (states/eV/f.u.): 1.06

---

[2]
Here is a geometry-optimized LiYGe2O6 structure from Alexandria. Energies are from PBE-GGA.

Geometry as POSCAR:
```
LiYGe2O6
1.0
5.7156 -0.0236 -0.0245
1.8015 6.8531 0.0994
1.8015 -0.1547 6.8521
Ge O Li Y
4 12 2 2
Direct
0.7876 0.6122 0.7795
0.2876 0.7795 0.6122
0.2124 0.3878 0.2205
0.7124 0.2205 0.3878
0.1626 0.9595 0.8008
0.8946 0.3778 0.8606
0.6054 0.1394 0.6222
0.3374 0.1992 0.0405
0.5293 0.5988 0.6829
0.0293 0.6829 0.5988
0.1054 0.6222 0.1394
0.4707 0.4012 0.3171
0.8374 0.0405 0.1992
0.9707 0.3171 0.4012
0.6626 0.8008 0.9595
0.3946 0.8606 0.3778
0.7500 0.7700 0.2300
0.2500 0.2300 0.7700
0.7500 0.1143 0.8857
0.2500 0.8857 0.1143
```

ΔE_f (raw) (eV per atom): -2.242
Energy (eV/atom): -6.978
Crystal system: monoclinic
D(E_F) (states/eV/f.u.): 0.00